Entry 1:
The following is a DFT calculation (PBE) of crystalline Cs4La3HfSe8 at its relaxed geometry.

Calculated values
Magnetization: 0.000 μB per cell
E_form (uncorrected): -37.808 kcal/mol of atoms

The structure in CIF format:
```
data_Cs4La3HfSe8
_chemical_formula_sum 'Cs4 La3 Hf1 Se8'
_symmetry_space_group_name_H-M 'P -1'
_symmetry_Int_Tables_number 2
_cell_length_a 8.704
_cell_length_b 8.711
_cell_length_c 9.783
_cell_angle_alpha 63.57
_cell_angle_beta 63.60
_cell_angle_gamma 60.04
loop_
_symmetry_equiv_pos_as_xyz
'x,y,z'
'-x,-y,-z'
loop_
_atom_site_label
_atom_site_fract_x
_atom_site_fract_y
_atom_site_fract_z
_atom_site_occupancy
Cs1 0.000 0.000 0.000 1
Cs2 0.000 0.500 0.000 1
Cs3 0.500 0.000 0.000 1
Cs4 0.500 0.500 0.000 1
La1 0.000 0.000 0.500 1
La2 0.000 0.500 0.500 1
La3 0.500 0.000 0.500 1
Hf1 0.500 0.500 0.500 1
Se1 0.231 0.233 0.303 1
Se2 0.256 0.714 0.316 1
Se3 0.286 0.285 0.685 1
Se4 0.287 0.743 0.685 1
```


Entry 2:
The following is a DFT calculation (PBE) of crystalline Cs3La2HfSe6 at its relaxed geometry.

Calculated values
Magnetization: 0.000 μB per cell
E_form (uncorrected): -36.557 kcal/mol of atoms

The structure in CIF format:
```
data_Cs3La2HfSe6
_chemical_formula_sum 'Cs6 La4 Hf2 Se12'
_symmetry_space_group_name_H-M 'C 1 2/m 1'
_symmetry_Int_Tables_number 12
_cell_length_a 7.462
_cell_length_b 12.923
_cell_length_c 8.745
_cell_angle_alpha 90.00
_cell_angle_beta 106.59
_cell_angle_gamma 90.00
loop_
_symmetry_equiv_pos_as_xyz
'x,y,z'
'-x,-y,-z'
'-x,y,-z'
'x,-y,z'
'x+1/2,y+1/2,z'
'-x+1/2,-y+1/2,-z'
'-x+1/2,y+1/2,-z'
'x+1/2,-y+1/2,z'
loop_
_atom_site_label
_atom_site_fract_x
_atom_site_fract_y
_atom_site_fract_z
_atom_site_occupancy
Cs1 0.000 0.000 0.000 1
Cs2 0.000 0.328 0.000 1
La1 0.000 0.166 0.500 1
Hf1 0.000 0.500 0.500 1
Se1 0.215 0.348 0.687 1
Se2 0.241 0.500 0.311 1
```


Entry 3:
The following is a DFT calculation (PBE) of crystalline Cs2LaHfSe at its relaxed geometry.

Calculated values
Magnetization: 0.000 μB per cell
E_form (uncorrected): 21.656 kcal/mol of atoms

The structure in CIF format:
```
data_Cs2LaHfSe
_chemical_formula_sum 'Cs2 La1 Hf1 Se1'
_symmetry_space_group_name_H-M 'P 4/m m m'
_symmetry_Int_Tables_number 123
_symmetry_space_group_name_Hall '-P 4 2'
_cell_length_a 6.813
_cell_length_b 6.813
_cell_length_c 5.333
_cell_angle_alpha 90.00
_cell_angle_beta 90.00
_cell_angle_gamma 90.00
loop_
_atom_site_label
_atom_site_fract_x
_atom_site_fract_y
_atom_site_fract_z
_atom_site_occupancy
Cs1 0.000 0.500 0.000 1
La1 0.000 0.000 0.000 1
Hf1 0.000 0.000 0.500 1
Se1 0.500 0.500 0.500 1
```


Entry 4:
The following is a DFT calculation (PBE) of crystalline CsLaHfSi2 at its relaxed geometry.

Calculated values
Magnetization: 0.000 μB per cell
E_form (uncorrected): 8.518 kcal/mol of atoms

The structure in CIF format:
```
data_CsLaHfSi2
_chemical_formula_sum 'Cs1 La1 Hf1 Si2'
_symmetry_space_group_name_H-M 'P 4/m m m'
_symmetry_Int_Tables_number 123
_symmetry_space_group_name_Hall '-P 4 2'
_cell_length_a 5.290
_cell_length_b 5.290
_cell_length_c 5.551
_cell_angle_alpha 90.00
_cell_angle_beta 90.00
_cell_angle_gamma 90.00
loop_
_atom_site_label
_atom_site_fract_x
_atom_site_fract_y
_atom_site_fract_z
_atom_site_occupancy
Cs1 0.000 0.000 0.000 1
La1 0.500 0.500 0.000 1
Hf1 0.500 0.500 0.500 1
Si1 0.000 0.500 0.500 1
```